PuMn2Tl3O6: optimized geometry, PBE+U.

Summary:
Raw total energy, eV per atom: -6.7756

a = 5.5082 Å, b = 5.5082 Å, c = 7.2584 Å
α = 97.36°, β = 97.36°, γ = 120.28°
With the nearest neighbours (Å) after each atom.
Fractional coordinates of all 12 atoms:
Tl: 0.5000 0.5000 0.5000  6 O 3.01-3.13, 6 Tl 3.16-3.18
Tl: 0.8309 0.1691 0.5000  6 O 3.00-3.12, 6 Tl 3.15-3.23
Tl: 0.1691 0.8309 0.5000  6 O 3.00-3.12, 6 Tl 3.15-3.23
O: 0.3040 0.3040 0.8510  2 Mn 2.06, 1 Pu 2.21
O: 0.0458 0.4040 0.1462  2 Mn 2.04-2.06, 1 Pu 2.21
O: 0.6960 0.6960 0.1490  2 Mn 2.06, 1 Pu 2.21
O: 0.9542 0.5960 0.8538  2 Mn 2.04-2.06, 1 Pu 2.21
O: 0.5960 0.9542 0.8538  2 Mn 2.04-2.06, 1 Pu 2.21
O: 0.4040 0.0458 0.1462  2 Mn 2.04-2.06, 1 Pu 2.21
Pu: 0.0000 0.0000 0.0000  6 O 2.21
Mn: 0.3337 0.6663 0.0000  6 O 2.04-2.06
Mn: 0.6663 0.3337 0.0000  6 O 2.04-2.06